The following is a PBE calculation of an optimized crystal structure of NdGa4B3O12, from Alexandria via LeMat-Bulk.

a b c (Å): 6.172 6.172 6.172
angles (deg): 109.47 109.47 109.47
Positions (direct):
Nd: 0.000 0.000 0.000
Ga: 0.500 0.000 0.000
Ga: 0.500 0.500 0.500
Ga: 0.000 0.500 0.000
Ga: 0.000 0.000 0.500
B: 0.000 0.500 0.500
B: 0.500 0.500 0.000
B: 0.500 0.000 0.500
O: 0.335 0.844 0.179
O: 0.665 0.156 0.821
O: 0.665 0.844 0.509
O: 0.821 0.665 0.156
O: 0.844 0.179 0.335
O: 0.156 0.491 0.335
O: 0.491 0.335 0.156
O: 0.156 0.821 0.665
O: 0.335 0.156 0.491
O: 0.179 0.335 0.844
O: 0.844 0.509 0.665
O: 0.509 0.665 0.844

Properties
total magnetic moment = 0.000 Bohr magnetons per cell
energy relative to the elements, uncorrected = -32.7 eV/f.u.
energy = -6.456 eV per atom
space group = Im-3 (204)

The following is a PBE calculation of an optimized crystal structure of NdGa3B4O12, from Alexandria via LeMat-Bulk.

a b c (Å): 6.095 6.095 6.095
angles (deg): 103.87 103.87 103.87
Positions (direct):
Nd: 0.000 0.000 0.000
Ga: 0.000 0.449 0.551
Ga: 0.551 0.000 0.449
Ga: 0.449 0.551 0.000
B: 0.500 0.054 0.946
B: 0.500 0.500 0.500
B: 0.946 0.500 0.054
B: 0.054 0.946 0.500
O: 0.786 0.625 0.027
O: 0.091 0.500 0.909
O: 0.909 0.091 0.500
O: 0.500 0.909 0.091
O: 0.375 0.214 0.973
O: 0.973 0.375 0.214
O: 0.625 0.027 0.786
O: 0.500 0.645 0.355
O: 0.355 0.500 0.645
O: 0.645 0.355 0.500
O: 0.214 0.973 0.375
O: 0.027 0.786 0.625

Properties
total magnetic moment = 0.000 Bohr magnetons per cell
energy relative to the elements, uncorrected = -47.1 eV/f.u.
energy = -7.357 eV per atom
space group = R32 (155)